{
  "formula": "Re2HOsRu",
  "functional": "PBE",
  "state": "optimized geometry",
  "e_above_lowest_polymorph_mev_per_atom": 0.0,
  "sg": "P4/mmm (123)",
  "vol_a3_per_cell": 60.14,
  "cell": [[3.931, 0.000, 0.000], [0.000, 3.931, 0.000], [0.000, 0.000, 3.892]],
  "species": ["Re", "Re", "H", "Os", "Ru"],
  "fractional_positions": [[0.000, 0.500, 0.000], [0.500, 0.000, 0.000], [0.000, 0.000, 0.000], [0.500, 0.500, 0.500], [0.000, 0.000, 0.500]]
}

{
  "formula": "BTe2IF",
  "functional": "PBE",
  "state": "optimized geometry",
  "e_above_lowest_polymorph_mev_per_atom": 343.0,
  "sg": "P4/mmm (123)",
  "vol_a3_per_cell": 151.41,
  "cell": [[4.616, 0.000, 0.000], [0.000, 4.616, 0.000], [0.000, 0.000, 7.107]],
  "species": ["B", "Te", "Te", "I", "F"],
  "fractional_positions": [[0.000, 0.000, 0.000], [0.000, 0.500, 0.500], [0.500, 0.000, 0.500], [0.500, 0.500, 0.000], [0.500, 0.500, 0.500]]
}